This record from Alexandria via LeMat-Bulk describes a relaxed SbTe2Os crystal. The functional is PBEsol.

Lattice parameters (Å, degrees): 4.746 4.746 7.618 90.00 90.00 90.00
Space group I-4m2 (No. 119)
Inequivalent atoms, fractional coordinates:
Sb  0.000  0.000  0.000 x2
Te  0.000  0.000  0.500 x2
Te  0.000  0.500  0.250 x2
Os  0.000  0.500  0.750 x2

Results
E: -0.18821 Ha/atom
Uncorrected formation energy: 0.835 eV per atom

=====

This record from Alexandria via LeMat-Bulk describes a relaxed Nb4NO3 crystal. The functional is PBEsol.

Lattice parameters (Å, degrees): 4.641 4.901 5.092 102.02 90.71 90.24
Space group P1 (No. 1)
Inequivalent atoms, fractional coordinates:
Nb  0.000  0.000  0.000 x1
Nb  0.046  0.395  0.610 x1
Nb  0.432  0.922  0.642 x1
Nb  0.520  0.450  0.026 x1
N  0.740  0.680  0.816 x1
O  0.232  0.054  0.345 x1
O  0.301  0.564  0.373 x1
O  0.783  0.305  0.273 x1

Results
E: -0.36013 Ha/atom
Uncorrected formation energy: -1.355 eV per atom

=====

This record from Alexandria via LeMat-Bulk describes a relaxed La2InCl crystal. The functional is PBEsol.

Lattice parameters (Å, degrees): 4.1164 4.1164 23.4438 90.00 90.00 120.00
Space group R-3m (No. 166, hexagonal axes)
Inequivalent atoms, fractional coordinates:
La  0.0000  0.0000  0.2376 x6
In  0.0000  0.0000  0.0000 x3
Cl  0.0000  0.0000  0.5000 x3

Results
E: -0.18083 Ha/atom
Uncorrected formation energy: -1.000 eV per atom

=====

Here are the calculated theoretical density numbers, same order: 10.98; 6.36; 6.20 (g/cm³).